{
  "formula": "SrPrCuSe3",
  "functional": "GGA-PBEsol",
  "state": "relaxed",
  "lattice_angstrom": [[10.942, 0.000, 0.000], [0.000, 4.113, 0.000], [0.000, 0.000, 13.346]],
  "species": ["Sr", "Sr", "Sr", "Sr", "Pr", "Pr", "Pr", "Pr", "Cu", "Cu", "Cu", "Cu", "Se", "Se", "Se", "Se", "Se", "Se", "Se", "Se", "Se", "Se", "Se", "Se"],
  "frac_coords": [[0.215, 0.250, 0.001], [0.285, 0.750, 0.501], [0.715, 0.250, 0.499], [0.785, 0.750, 0.999], [0.019, 0.750, 0.264], [0.481, 0.250, 0.764], [0.519, 0.750, 0.236], [0.981, 0.250, 0.736], [0.233, 0.750, 0.778], [0.267, 0.250, 0.278], [0.733, 0.750, 0.722], [0.767, 0.250, 0.222], [0.052, 0.750, 0.885], [0.103, 0.250, 0.402], [0.238, 0.250, 0.671], [0.262, 0.750, 0.171], [0.397, 0.750, 0.902], [0.448, 0.250, 0.385], [0.552, 0.750, 0.615], [0.603, 0.250, 0.098], [0.738, 0.250, 0.829], [0.762, 0.750, 0.329], [0.897, 0.750, 0.598], [0.948, 0.250, 0.115]],
  "formation_energy_uncorrected_ev_per_atom": -1.54
}

{
  "formula": "PrCu2Si2",
  "functional": "GGA-PBEsol",
  "state": "relaxed",
  "lattice_angstrom": [[-2.027, 2.027, 4.914], [2.027, -2.027, 4.914], [2.027, 2.027, -4.914]],
  "species": ["Pr", "Cu", "Cu", "Si", "Si"],
  "frac_coords": [[0.000, 0.000, 0.000], [0.250, 0.750, 0.500], [0.750, 0.250, 0.500], [0.378, 0.378, 0.000], [0.622, 0.622, 0.000]],
  "formation_energy_uncorrected_ev_per_atom": -0.64
}

{
  "formula": "Pr2Cu3Sn6",
  "functional": "GGA-PBEsol",
  "state": "relaxed",
  "lattice_angstrom": [[-2.214, 2.214, 12.698], [2.214, -2.214, 12.698], [2.214, 2.214, -12.698]],
  "species": ["Pr", "Pr", "Cu", "Cu", "Cu", "Sn", "Sn", "Sn", "Sn", "Sn", "Sn"],
  "frac_coords": [[0.000, 0.000, 0.000], [0.313, 0.313, 0.000], [0.410, 0.910, 0.500], [0.761, 0.761, 0.000], [0.910, 0.410, 0.500], [0.095, 0.595, 0.500], [0.208, 0.708, 0.500], [0.466, 0.466, 0.000], [0.595, 0.095, 0.500], [0.708, 0.208, 0.500], [0.859, 0.859, 0.000]]
}

The VASP energy results, record by record, are as follows: -5.357; -5.710; -4.864 eV/atom.
The M_tot results, record by record, are as follows: 0.0; 0.0; 0.0 Bohr magnetons per cell.